First-principles (PBE-GGA) data for an optimized crystal structure of HgTe3Rh2, as listed in Alexandria via LeMat-Bulk.

abc: 8.2379 8.2379 7.0054
angles: 53.99 53.99 60.00
Closest atoms and distances in Å follow each position.
Element x y z (fractional)
Te1 0.2447 0.2447 0.7702  3 Rh 2.65-2.67
Te2 0.7553 0.2596 0.2298  3 Rh 2.65-2.67
Rh1 0.0000 0.0000 0.0000  6 Te 2.67
Te3 0.7553 0.7553 0.2298  3 Rh 2.65-2.67
Hg1 0.7653 0.7653 0.7040  3 Rh 2.82
Rh2 0.5000 0.5000 0.0000  4 Te 2.65, 2 Hg 2.82
Rh3 0.5000 0.0000 0.0000  4 Te 2.65, 2 Hg 2.82
Te4 0.7404 0.2447 0.7702  3 Rh 2.65-2.67
Rh4 0.0000 0.5000 0.0000  4 Te 2.65, 2 Hg 2.82
Hg2 0.2347 0.2347 0.2960  3 Rh 2.82
Te5 0.2447 0.7404 0.7702  3 Rh 2.65-2.67
Te6 0.2596 0.7553 0.2298  3 Rh 2.65-2.67

V ... 302 Å³ per cell
Formation energy without anion corrections ... -0.1594 eV/atom
Space-group type ... No. 166

First-principles (PBE-GGA) data for an optimized crystal structure of HgTe2Rh2, as listed in Alexandria via LeMat-Bulk.

abc: 4.7999 4.7999 6.0613
angles: 66.68 66.68 90.00
Closest atoms and distances in Å follow each position.
Element x y z (fractional)
Rh1 0.6317 0.6317 0.7367  1 Rh 2.64, 4 Te 2.68
Te1 0.2500 0.7500 0.5000  4 Rh 2.68
Rh2 0.3683 0.3683 0.2633  1 Rh 2.64, 4 Te 2.68
Hg1 0.0000 0.0000 0.0000  8 Te 3.47, 10 Rh 3.64-3.70
Te2 0.7500 0.2500 0.5000  4 Rh 2.68

Energy above the lowest structure with this stoichiometry ... 299 meV/atom
V ... 116 Å³ per cell
Formation energy without anion corrections ... 0.0740 eV/atom
Space-group type ... No. 139

First-principles (PBE-GGA) data for an optimized crystal structure of HgTeRh3, as listed in Alexandria via LeMat-Bulk.

abc: 4.8373 4.8373 4.8373
angles: 90.00 90.00 90.00
Closest atoms and distances in Å follow each position.
Element x y z (fractional)
Rh1 0.0000 0.0000 0.5000  2 Te 2.42
Rh2 0.5000 0.0000 0.0000  2 Te 2.42
Hg1 0.5000 0.5000 0.5000  12 Rh 3.42
Te1 0.0000 0.0000 0.0000  6 Rh 2.42
Rh3 0.0000 0.5000 0.0000  2 Te 2.42

Energy above the lowest structure with this stoichiometry ... 0 meV/atom
V ... 113 Å³ per cell
Formation energy without anion corrections ... 0.7369 eV/atom
Space-group type ... No. 221

First-principles (PBE-GGA) data for an optimized crystal structure of HgTeRh4, as listed in Alexandria via LeMat-Bulk.

abc: 5.2838 5.2838 5.2838
angles: 60.00 60.00 60.00
Closest atoms and distances in Å follow each position.
Element x y z (fractional)
Rh1 0.8755 0.3748 0.3748  6 Rh 2.64-2.65
Te1 0.7500 0.7500 0.7500  12 Rh 3.10, 4 Hg 3.24
Rh2 0.3748 0.3748 0.3748  6 Rh 2.64-2.65
Rh3 0.3748 0.8755 0.3748  6 Rh 2.64-2.65
Hg1 0.0000 0.0000 0.0000  12 Rh 3.10, 4 Te 3.24
Rh4 0.3748 0.3748 0.8755  6 Rh 2.64-2.65

V ... 104 Å³ per cell
Formation energy without anion corrections ... 0.2913 eV/atom
Space-group type ... No. 216

First-principles (PBE-GGA) data for an optimized crystal structure of TiHgTeRh2, as listed in Alexandria via LeMat-Bulk.

abc: 4.6170 5.2050 4.6170
angles: 90.00 90.00 90.00
Closest atoms and distances in Å follow each position.
Element x y z (fractional)
Rh1 0.5000 0.0000 0.0000  2 Ti 2.31
Hg1 0.0000 0.5000 0.0000  2 Ti 2.60
Ti1 0.0000 0.0000 0.0000  4 Rh 2.31
Rh2 0.0000 0.0000 0.5000  2 Ti 2.31
Te1 0.5000 0.5000 0.5000  4 Hg 3.26, 8 Rh 3.48

V ... 111 Å³ per cell
Formation energy without anion corrections ... 0.5762 eV/atom
Space-group type ... No. 123

First-principles (PBE-GGA) data for an optimized crystal structure of TlHg2TeRh, as listed in Alexandria via LeMat-Bulk.

abc: 5.3031 5.3031 5.2121
angles: 90.00 90.00 90.00
Closest atoms and distances in Å follow each position.
Element x y z (fractional)
Rh1 0.0000 0.0000 0.0000  2 Te 2.61, 4 Hg 2.65
Te1 0.0000 0.0000 0.5000  2 Rh 2.61
Tl1 0.5000 0.5000 0.5000  8 Hg 3.72, 4 Te 3.75
Hg1 0.0000 0.5000 0.0000  2 Rh 2.65
Hg2 0.5000 0.0000 0.0000  2 Rh 2.65

V ... 147 Å³ per cell
Formation energy without anion corrections ... -0.0155 eV/atom
Space-group type ... No. 123

First-principles (PBE-GGA) data for an optimized crystal structure of ThHgRh, as listed in Alexandria via LeMat-Bulk.

abc: 4.1470 9.0880 9.0880
angles: 90.00 90.00 90.00
Closest atoms and distances in Å follow each position.
Element x y z (fractional)
Th1 0.5000 0.7442 0.5683  3 Rh 2.70-2.76
Hg1 0.0000 0.0265 0.6846  3 Rh 2.82
Th2 0.5000 0.2558 0.4317  3 Rh 2.70-2.76
Rh1 0.0000 0.2718 0.2315  3 Th 2.70-2.76, 3 Hg 2.82
Rh2 0.0000 0.7282 0.7685  3 Th 2.70-2.76, 3 Hg 2.82
Hg2 0.5000 0.6846 0.9735  3 Rh 2.82
Rh3 0.5000 0.2315 0.7282  3 Th 2.70-2.76, 3 Hg 2.82
Hg3 0.5000 0.3154 0.0265  3 Rh 2.82
Rh4 0.5000 0.7685 0.2718  3 Th 2.70-2.76, 3 Hg 2.82
Th3 0.0000 0.5683 0.2558  3 Rh 2.70-2.76
Th4 0.0000 0.4317 0.7442  3 Rh 2.70-2.76
Hg4 0.0000 0.9735 0.3154  3 Rh 2.82

V ... 343 Å³ per cell
Space-group type ... No. 84

First-principles (PBE-GGA) data for an optimized crystal structure of Th2HgRh, as listed in Alexandria via LeMat-Bulk.

abc: 4.2010 4.2010 7.5694
angles: 90.00 90.00 60.00
Closest atoms and distances in Å follow each position.
Element x y z (fractional)
Hg1 0.0000 0.0000 0.5000  6 Th 3.31
Th1 0.6667 0.6667 0.2019  3 Rh 2.87
Th2 0.3333 0.3333 0.7981  3 Rh 2.87
Rh1 0.0000 0.0000 0.0000  6 Th 2.87

Energy above the lowest structure with this stoichiometry ... 30 meV/atom
V ... 116 Å³ per cell
Space-group type ... No. 164

Raw total energy (computed, eV/f.u.): -25.4, -20.9, -21.8, -31.1, -23.2, -13.5, -16.0, -24.5